(1)
Entry from the Alexandria database: a relaxed structure of YPu2ZrP4 (PBE).

- density of states at the Fermi level (states/eV/cell) = 21.70
- energy of formation from the pure elements (eV/atom) = -1.331
- magnetization (μB/atom) = 0.021

Structure (CIF):
```
data_YPu2ZrP4
_symmetry_space_group_name_H-M 'P 1 2/m 1'
_symmetry_Int_Tables_number 10
_symmetry_space_group_name_Hall '-P 2y'
_cell_length_a 6.7792
_cell_length_b 3.9293
_cell_length_c 6.8070
_cell_angle_alpha 90.00
_cell_angle_beta 109.54
_cell_angle_gamma 90.00
loop_
_atom_site_label
_atom_site_fract_x
_atom_site_fract_y
_atom_site_fract_z
Y1 0.0000 0.0000 0.0000
Pu1 0.5000 0.0000 0.5000
Pu2 0.5000 0.5000 0.0000
Zr1 0.0000 0.5000 0.5000
P1 0.2422 0.0000 0.7404
P2 0.2474 0.5000 0.2595
```



(2)
Entry from the Alexandria database: a relaxed structure of YPuZr2P4 (PBE).

- density of states at the Fermi level (states/eV/cell) = 11.57
- energy of formation from the pure elements (eV/atom) = -1.410
- magnetization (μB/atom) = 0.660

Structure (CIF):
```
data_YPuZr2P4
_symmetry_space_group_name_H-M 'P 1 2/m 1'
_symmetry_Int_Tables_number 10
_symmetry_space_group_name_Hall '-P 2y'
_cell_length_a 6.6625
_cell_length_b 3.8550
_cell_length_c 6.7230
_cell_angle_alpha 90.00
_cell_angle_beta 109.27
_cell_angle_gamma 90.00
loop_
_atom_site_label
_atom_site_fract_x
_atom_site_fract_y
_atom_site_fract_z
Y1 0.0000 0.0000 0.0000
Pu1 0.5000 0.5000 0.0000
Zr1 0.0000 0.5000 0.5000
Zr2 0.5000 0.0000 0.5000
P1 0.2474 0.0000 0.7373
P2 0.2561 0.5000 0.2639
```



(3)
Entry from the Alexandria database: a relaxed structure of PuZnP2 (PBE).

- density of states at the Fermi level (states/eV/cell) = 32.77
- energy relative to the lowest polymorph listed for this composition (meV per atom) = 311.7
- energy of formation from the pure elements (eV/atom) = -0.297
- magnetization (μB/atom) = 0.999

Structure (CIF):
```
data_PuZnP2
_symmetry_space_group_name_H-M 'R -3 m'
_symmetry_Int_Tables_number 166
_symmetry_space_group_name_Hall '-R 3 2"'
_cell_length_a 4.2367
_cell_length_b 4.2367
_cell_length_c 21.1774
_cell_angle_alpha 90.00
_cell_angle_beta 90.00
_cell_angle_gamma 120.00
loop_
_atom_site_label
_atom_site_fract_x
_atom_site_fract_y
_atom_site_fract_z
Pu1 0.0000 0.0000 0.0000
Zn1 0.0000 0.0000 0.5000
P1 0.0000 0.0000 0.3949
```



(4)
Entry from the Alexandria database: a relaxed structure of PuZnP2 (PBE).

- density of states at the Fermi level (states/eV/cell) = 29.23
- energy relative to the lowest polymorph listed for this composition (meV per atom) = 0.0
- energy of formation from the pure elements (eV/atom) = -0.608
- magnetization (μB/atom) = 1.364

Structure (CIF):
```
data_PuZnP2
_symmetry_space_group_name_H-M 'P n m a'
_symmetry_Int_Tables_number 62
_symmetry_space_group_name_Hall '-P 2ac 2n'
_cell_length_a 19.4928
_cell_length_b 3.8082
_cell_length_c 3.8112
_cell_angle_alpha 90.00
_cell_angle_beta 90.00
_cell_angle_gamma 90.00
loop_
_atom_site_label
_atom_site_fract_x
_atom_site_fract_y
_atom_site_fract_z
Pu1 0.1098 0.2500 0.2430
Zn1 0.2500 0.2500 0.7425
P1 0.0000 0.2500 0.7398
P2 0.1639 0.7500 0.7429
```



(5)
Entry from the Alexandria database: a relaxed structure of PuZnP2 (PBE).

- density of states at the Fermi level (states/eV/cell) = 8.64
- energy relative to the lowest polymorph listed for this composition (meV per atom) = 81.7
- energy of formation from the pure elements (eV/atom) = -0.526
- magnetization (μB/atom) = 1.086

Structure (CIF):
```
data_PuZnP2
_symmetry_space_group_name_H-M 'P 4/m m m'
_symmetry_Int_Tables_number 123
_symmetry_space_group_name_Hall '-P 4 2'
_cell_length_a 4.3111
_cell_length_b 4.3111
_cell_length_c 3.6496
_cell_angle_alpha 90.00
_cell_angle_beta 90.00
_cell_angle_gamma 90.00
loop_
_atom_site_label
_atom_site_fract_x
_atom_site_fract_y
_atom_site_fract_z
Pu1 0.0000 0.0000 0.0000
Zn1 0.5000 0.5000 0.0000
P1 0.0000 0.5000 0.5000
```



(6)
Entry from the Alexandria database: a relaxed structure of PuZn3P3 (PBE).

- density of states at the Fermi level (states/eV/cell) = 63.92
- energy of formation from the pure elements (eV/atom) = -0.471
- magnetization (μB/atom) = 0.714

Structure (CIF):
```
data_PuZn3P3
_symmetry_space_group_name_H-M 'R -3'
_symmetry_Int_Tables_number 148
_symmetry_space_group_name_Hall '-R 3'
_cell_length_a 6.9542
_cell_length_b 6.9542
_cell_length_c 19.7677
_cell_angle_alpha 90.00
_cell_angle_beta 90.00
_cell_angle_gamma 120.00
loop_
_atom_site_label
_atom_site_fract_x
_atom_site_fract_y
_atom_site_fract_z
Pu1 0.0000 0.0000 0.1661
Zn1 0.0021 0.3300 0.6204
P1 0.0017 0.3386 0.4162
```



(7)
Entry from the Alexandria database: a relaxed structure of PuZrP2 (PBE).

- density of states at the Fermi level (states/eV/cell) = 27.15
- energy relative to the lowest polymorph listed for this composition (meV per atom) = 172.8
- energy of formation from the pure elements (eV/atom) = -1.145
- magnetization (μB/atom) = 1.161

Structure (CIF):
```
data_PuZrP2
_symmetry_space_group_name_H-M 'R 3 m'
_symmetry_Int_Tables_number 160
_symmetry_space_group_name_Hall 'R 3 -2"'
_cell_length_a 3.8066
_cell_length_b 3.8066
_cell_length_c 19.7735
_cell_angle_alpha 90.00
_cell_angle_beta 90.00
_cell_angle_gamma 120.00
loop_
_atom_site_label
_atom_site_fract_x
_atom_site_fract_y
_atom_site_fract_z
Pu1 0.0000 0.0000 0.0000
Zr1 0.0000 0.0000 0.8252
P1 0.0000 0.0000 0.4152
P2 0.0000 0.0000 0.5751
```



(8)
Entry from the Alexandria database: a relaxed structure of Pu4ZrP5 (PBE).

- density of states at the Fermi level (states/eV/cell) = 70.67
- energy of formation from the pure elements (eV/atom) = -1.208
- magnetization (μB/atom) = 2.013

Structure (CIF):
```
data_Pu4ZrP5
_symmetry_space_group_name_H-M 'I 4/m'
_symmetry_Int_Tables_number 87
_symmetry_space_group_name_Hall '-I 4'
_cell_length_a 8.8064
_cell_length_b 8.8064
_cell_length_c 5.5773
_cell_angle_alpha 90.00
_cell_angle_beta 90.00
_cell_angle_gamma 90.00
loop_
_atom_site_label
_atom_site_fract_x
_atom_site_fract_y
_atom_site_fract_z
Pu1 0.0980 0.7004 0.0000
Zr1 0.0000 0.0000 0.5000
P1 0.0000 0.0000 0.0000
P2 0.0978 0.7078 0.5000
```



(9)
Entry from the Alexandria database: a relaxed structure of PuZr3P4 (PBE).

- density of states at the Fermi level (states/eV/cell) = 19.37
- energy of formation from the pure elements (eV/atom) = -1.347
- magnetization (μB/atom) = 0.629

Structure (CIF):
```
data_PuZr3P4
_symmetry_space_group_name_H-M 'P 1 2/c 1'
_symmetry_Int_Tables_number 13
_symmetry_space_group_name_Hall '-P 2yc'
_cell_length_a 6.5691
_cell_length_b 7.5821
_cell_length_c 6.5845
_cell_angle_alpha 90.00
_cell_angle_beta 109.46
_cell_angle_gamma 90.00
loop_
_atom_site_label
_atom_site_fract_x
_atom_site_fract_y
_atom_site_fract_z
Pu1 0.0000 0.1273 0.2500
Zr1 0.0000 0.3767 0.7500
Zr2 0.5000 0.1293 0.7500
Zr3 0.5000 0.3781 0.2500
P1 0.2532 0.3780 0.5016
P2 0.2553 0.1273 0.0008
```



(10)
Entry from the Alexandria database: a relaxed structure of Pu5ZrP6 (PBE).

- density of states at the Fermi level (states/eV/cell) = 85.99
- energy of formation from the pure elements (eV/atom) = -1.184
- magnetization (μB/atom) = 0.416

Structure (CIF):
```
data_Pu5ZrP6
_symmetry_space_group_name_H-M 'C 1 2/m 1'
_symmetry_Int_Tables_number 12
_symmetry_space_group_name_Hall '-C 2y'
_cell_length_a 6.8546
_cell_length_b 11.8712
_cell_length_c 6.7744
_cell_angle_alpha 90.00
_cell_angle_beta 109.70
_cell_angle_gamma 90.00
loop_
_atom_site_label
_atom_site_fract_x
_atom_site_fract_y
_atom_site_fract_z
Pu1 0.0000 0.0000 0.0000
Pu2 0.0000 0.1662 0.5000
Pu3 0.0000 0.3317 0.0000
Zr1 0.0000 0.5000 0.5000
P1 0.2432 0.5000 0.2532
P2 0.2443 0.3372 0.7451
```



(11)
Entry from the Alexandria database: a relaxed structure of PuZr5P6 (PBE).

- density of states at the Fermi level (states/eV/cell) = 21.09
- energy of formation from the pure elements (eV/atom) = -1.348
- magnetization (μB/atom) = 0.424

Structure (CIF):
```
data_PuZr5P6
_symmetry_space_group_name_H-M 'C 1 2/m 1'
_symmetry_Int_Tables_number 12
_symmetry_space_group_name_Hall '-C 2y'
_cell_length_a 6.5430
_cell_length_b 11.3350
_cell_length_c 6.5450
_cell_angle_alpha 90.00
_cell_angle_beta 109.50
_cell_angle_gamma 90.00
loop_
_atom_site_label
_atom_site_fract_x
_atom_site_fract_y
_atom_site_fract_z
Pu1 0.0000 0.0000 0.0000
Zr1 0.0000 0.1670 0.5000
Zr2 0.0000 0.3323 0.0000
Zr3 0.0000 0.5000 0.5000
P1 0.2463 0.5000 0.2502
P2 0.2471 0.3318 0.7461
```



(12)
Entry from the Alexandria database: a relaxed structure of PuZrP2 (PBE).

- density of states at the Fermi level (states/eV/cell) = 30.91
- energy relative to the lowest polymorph listed for this composition (meV per atom) = 0.0
- energy of formation from the pure elements (eV/atom) = -1.317
- magnetization (μB/atom) = 1.289

Structure (CIF):
```
data_PuZrP2
_symmetry_space_group_name_H-M 'R -3 m'
_symmetry_Int_Tables_number 166
_symmetry_space_group_name_Hall '-R 3 2"'
_cell_length_a 3.8527
_cell_length_b 3.8527
_cell_length_c 18.9602
_cell_angle_alpha 90.00
_cell_angle_beta 90.00
_cell_angle_gamma 120.00
loop_
_atom_site_label
_atom_site_fract_x
_atom_site_fract_y
_atom_site_fract_z
Pu1 0.0000 0.0000 0.0000
Zr1 0.0000 0.0000 0.5000
P1 0.0000 0.0000 0.2461
```